Record 1
First-principles (PBE-GGA) data for a geometry-optimized MnAsIr2 structure, as listed in Alexandria via LeMat-Bulk.

As for the space group: P4mm (99). The total magnetization comes out at 0.609 μB per atom. The calculation puts the formation energy from the elements at 104 meV/atom.

Cell lengths 2.867, 2.867, 6.969 Å; angles 90.00, 90.00, 90.00 degrees
Fractional coordinates of all 4 atoms:
1 Mn 0.000 0.000 0.505
2 Ir 0.500 0.500 0.264
3 Ir 0.000 0.000 0.986
4 As 0.500 0.500 0.744

Record 2
First-principles (PBE-GGA) data for a geometry-optimized La2BeAg structure, as listed in Alexandria via LeMat-Bulk.

As for the space group: F-43m (216). The total magnetization comes out at 0.000 μB per atom. The calculation puts the formation energy from the elements at 213 meV/atom.

Cell lengths 5.059, 5.059, 5.059 Å; angles 60.00, 60.00, 60.00 degrees
Fractional coordinates of all 4 atoms:
1 La 0.000 0.000 0.000
2 La 0.250 0.250 0.250
3 Be 0.750 0.750 0.750
4 Ag 0.500 0.500 0.500

Record 3
First-principles (PBE-GGA) data for a geometry-optimized TaWAu2 structure, as listed in Alexandria via LeMat-Bulk.

As for the space group: P4mm (99). The total magnetization comes out at 0.000 μB per atom. The calculation puts the formation energy from the elements at 151 meV/atom. The calculation puts the distance to the lowest polymorph of the same formula at 79.1 meV/atom.

Cell lengths 3.417, 3.417, 5.995 Å; angles 90.00, 90.00, 90.00 degrees
Fractional coordinates of all 4 atoms:
1 W 0.500 0.500 0.740
2 Ta 0.000 0.000 0.512
3 Au 0.000 0.000 0.001
4 Au 0.500 0.500 0.247

Record 4
First-principles (PBE-GGA) data for a geometry-optimized YHfAs3 structure, as listed in Alexandria via LeMat-Bulk.

As for the space group: Pm-3m (221). The total magnetization comes out at 0.000 μB per atom. The calculation puts the formation energy from the elements at -311 meV/atom. The calculation puts the distance to the lowest polymorph of the same formula at 0.0 meV/atom.

Cell lengths 5.098, 5.098, 5.098 Å; angles 90.00, 90.00, 90.00 degrees
Fractional coordinates of all 5 atoms:
1 Y 0.500 0.500 0.500
2 Hf 0.000 0.000 0.000
3 As 0.500 0.000 0.000
4 As 0.000 0.000 0.500
5 As 0.000 0.500 0.000

Record 5
First-principles (PBE-GGA) data for a geometry-optimized CaTa2Tl structure, as listed in Alexandria via LeMat-Bulk.

As for the space group: P4/mmm (123). The total magnetization comes out at 0.000 μB per atom. The calculation puts the formation energy from the elements at 822 meV/atom. The calculation puts the distance to the lowest polymorph of the same formula at 553.3 meV/atom.

Cell lengths 3.775, 3.775, 6.793 Å; angles 90.00, 90.00, 90.00 degrees
Fractional coordinates of all 4 atoms:
1 Ta 0.000 0.000 0.067
2 Ta 0.000 0.000 0.433
3 Tl 0.500 0.500 0.250
4 Ca 0.500 0.500 0.750

Record 6
First-principles (PBE-GGA) data for a geometry-optimized LiMn2Cd2 structure, as listed in Alexandria via LeMat-Bulk.

As for the space group: P4/mbm (127). The total magnetization comes out at 1.426 μB per atom. The calculation puts the formation energy from the elements at 268 meV/atom. The calculation puts the distance to the lowest polymorph of the same formula at 0.0 meV/atom.

Cell lengths 8.059, 8.059, 2.920 Å; angles 90.00, 90.00, 90.00 degrees
Fractional coordinates of all 10 atoms:
1 Mn 0.616 0.116 0.000
2 Mn 0.384 0.884 0.000
3 Mn 0.884 0.616 0.000
4 Mn 0.116 0.384 0.000
5 Cd 0.680 0.820 0.500
6 Cd 0.320 0.180 0.500
7 Cd 0.820 0.320 0.500
8 Cd 0.180 0.680 0.500
9 Li 0.000 0.000 0.000
10 Li 0.500 0.500 0.000

Record 7
First-principles (PBE-GGA) data for a geometry-optimized KNa2Au structure, as listed in Alexandria via LeMat-Bulk.

As for the space group: P2_1/c (14). The total magnetization comes out at 0.000 μB per atom. The calculation puts the formation energy from the elements at -145 meV/atom. The calculation puts the distance to the lowest polymorph of the same formula at 58.6 meV/atom.

Cell lengths 8.187, 9.734, 10.488 Å; angles 134.24, 90.00, 90.00 degrees
Fractional coordinates of all 16 atoms:
1 K 0.983 0.386 0.607
2 K 0.517 0.886 0.607
3 K 0.017 0.614 0.393
4 K 0.483 0.114 0.393
5 Na 0.814 0.102 0.115
6 Na 0.429 0.319 0.167
7 Na 0.186 0.898 0.885
8 Na 0.686 0.602 0.115
9 Na 0.071 0.819 0.167
10 Na 0.929 0.181 0.833
11 Na 0.571 0.681 0.833
12 Na 0.314 0.398 0.885
13 Au 0.171 0.036 0.548
14 Au 0.671 0.464 0.452
15 Au 0.329 0.536 0.548
16 Au 0.829 0.964 0.452

Record 8
First-principles (PBE-GGA) data for a geometry-optimized RbMoSN2 structure, as listed in Alexandria via LeMat-Bulk.

As for the space group: P4/mmm (123). The total magnetization comes out at 0.216 μB per atom. As for the uncorrected formation energy: 153.7 meV/atom. The calculation puts the distance to the lowest polymorph of the same formula at 0.0 meV/atom.

Cell lengths 4.107, 4.107, 4.916 Å; angles 90.00, 90.00, 90.00 degrees
Fractional coordinates of all 5 atoms:
1 N 0.500 0.000 0.000
2 N 0.000 0.500 0.000
3 S 0.000 0.000 0.500
4 Rb 0.500 0.500 0.500
5 Mo 0.000 0.000 0.000

Record 9
First-principles (PBE-GGA) data for a geometry-optimized Ho3Ge3Ir2 structure, as listed in Alexandria via LeMat-Bulk.

As for the space group: Cmcm (63). The total magnetization comes out at 0.000 μB per atom. The calculation puts the formation energy from the elements at -930 meV/atom. The calculation puts the distance to the lowest polymorph of the same formula at 0.0 meV/atom.

Cell lengths 5.654, 5.654, 14.267 Å; angles 90.00, 90.00, 135.17 degrees
Fractional coordinates of all 16 atoms:
1 Ho 0.358 0.642 0.750
2 Ho 0.084 0.916 0.611
3 Ho 0.916 0.084 0.111
4 Ho 0.916 0.084 0.389
5 Ho 0.084 0.916 0.889
6 Ho 0.642 0.358 0.250
7 Ge 0.623 0.377 0.465
8 Ge 0.345 0.655 0.250
9 Ge 0.377 0.623 0.965
10 Ge 0.377 0.623 0.535
11 Ge 0.623 0.377 0.035
12 Ge 0.655 0.345 0.750
13 Ir 0.800 0.200 0.603
14 Ir 0.200 0.800 0.103
15 Ir 0.800 0.200 0.897
16 Ir 0.200 0.800 0.397

Record 10
First-principles (PBE-GGA) data for a geometry-optimized AcPmY2Tm structure, as listed in Alexandria via LeMat-Bulk.

As for the space group: P2_1/m (11). The total magnetization comes out at 0.000 μB per atom. The calculation puts the formation energy from the elements at 40 meV/atom.

Cell lengths 5.852, 9.856, 6.403 Å; angles 109.20, 90.00, 90.00 degrees
Fractional coordinates of all 10 atoms:
1 Tm 0.750 0.312 0.240
2 Tm 0.250 0.688 0.760
3 Pm 0.250 0.892 0.373
4 Pm 0.750 0.108 0.627
5 Y 0.250 0.503 0.168
6 Y 0.750 0.497 0.832
7 Y 0.750 0.693 0.434
8 Y 0.250 0.307 0.566
9 Ac 0.750 0.893 0.032
10 Ac 0.250 0.107 0.968

Record 11
First-principles (PBE-GGA) data for a geometry-optimized Rb2GeBCl6 structure, as listed in Alexandria via LeMat-Bulk.

As for the space group: I4/mmm (139). The total magnetization comes out at 0.000 μB per atom. As for the uncorrected formation energy: -899.0 meV/atom.

Cell lengths 7.657, 7.657, 7.180 Å; angles 57.78, 57.78, 90.00 degrees
Fractional coordinates of all 10 atoms:
1 Cl 0.757 0.757 0.000
2 Cl 0.757 0.243 0.000
3 Cl 0.310 0.310 0.381
4 Cl 0.243 0.757 0.000
5 Cl 0.690 0.690 0.619
6 Cl 0.243 0.243 0.000
7 Ge 0.000 0.000 0.000
8 Rb 0.250 0.750 0.500
9 Rb 0.750 0.250 0.500
10 B 0.500 0.500 0.000

Record 12
First-principles (PBE-GGA) data for a geometry-optimized LaMn2In2 structure, as listed in Alexandria via LeMat-Bulk.

As for the space group: P4/mbm (127). The total magnetization comes out at 1.394 μB per atom. The calculation puts the formation energy from the elements at 78 meV/atom.

Cell lengths 8.347, 8.347, 3.077 Å; angles 90.00, 90.00, 90.00 degrees
Fractional coordinates of all 10 atoms:
1 Mn 0.117 0.383 0.000
2 Mn 0.383 0.883 0.000
3 Mn 0.883 0.617 0.000
4 Mn 0.617 0.117 0.000
5 In 0.328 0.172 0.500
6 In 0.672 0.828 0.500
7 In 0.828 0.328 0.500
8 In 0.172 0.672 0.500
9 La 0.000 0.000 0.000
10 La 0.500 0.500 0.000

Repeat the fifth record exactly.
First-principles (PBE-GGA) data for a geometry-optimized CaTa2Tl structure, as listed in Alexandria via LeMat-Bulk.

As for the space group: P4/mmm (123). The total magnetization comes out at 0.000 μB per atom. The calculation puts the formation energy from the elements at 822 meV/atom. The calculation puts the distance to the lowest polymorph of the same formula at 553.3 meV/atom.

Cell lengths 3.775, 3.775, 6.793 Å; angles 90.00, 90.00, 90.00 degrees
Fractional coordinates of all 4 atoms:
1 Ta 0.000 0.000 0.067
2 Ta 0.000 0.000 0.433
3 Tl 0.500 0.500 0.250
4 Ca 0.500 0.500 0.750